Arrangement w

A plane-wave DFT calculation with PBE was carried out for LiErCu after structural relaxation.

```
3
Lattice="-0.043 0.013 -3.497 1.400 -3.205 -0.029 -4.945 -0.268 1.808" Properties=species:S:1:pos:R:3 pbc="T T T"
Cu -2.335 -1.020 0.025
Li -0.502 -2.111 -1.751
Er -3.060 -3.229 -1.724
```

- symmetry = I4mm (107)

***

Arrangement x

A plane-wave DFT calculation with PBE was carried out for LiErCu after structural relaxation.

```
3
Lattice="3.395 0.000 0.000 0.000 4.432 0.000 0.000 -2.216 3.838" Properties=species:S:1:pos:R:3 pbc="T T T"
Cu 0.564 0.000 2.559
Er 2.263 2.216 1.279
Li 0.567 0.000 0.000
```

- symmetry = P-6m2 (187)

***

Relative energies with respect to the most stable structure, expressed in kJ/mol of atoms: arrangement w 0.0; arrangement x 4.0.

***

Arrangement w

A plane-wave DFT calculation with PBE was carried out for ErLu2Cu after structural relaxation.

```
4
Lattice="-0.312 3.393 -0.152 -3.016 -0.347 -1.554 -3.920 -0.019 7.609" Properties=species:S:1:pos:R:3 pbc="T T T"
Lu -0.774 -0.004 1.503
Cu -1.664 1.523 -0.853
Lu -3.146 -0.015 6.106
Er -3.624 1.513 2.951
```

- symmetry = P4/mmm (123)

***

Arrangement x

A plane-wave DFT calculation with PBE was carried out for ErLu2Cu after structural relaxation.

```
4
Lattice="-1.405 1.017 3.078 -0.461 -2.353 2.595 8.189 1.541 5.257" Properties=species:S:1:pos:R:3 pbc="T T T"
Lu 1.168 -0.042 2.575
Lu 5.155 0.247 8.355
Er 3.161 0.102 5.465
Cu 0.000 0.000 0.000
```

- symmetry = R-3m (166)

***

Relative energies with respect to the most stable structure, expressed in kJ/mol of atoms: arrangement w 0.0; arrangement x 13.1.

***

Arrangement w

A plane-wave DFT calculation with PBE was carried out for Er3Mg2Cu3 after structural relaxation.

```
16
Lattice="5.657 0.000 0.000 0.000 7.134 -4.119 0.000 0.000 8.238" Properties=species:S:1:pos:R:3 pbc="T T T"
Er 1.414 5.291 -3.055
Er 4.243 0.000 2.129
Mg 0.000 4.756 0.000
Er 1.414 0.000 6.109
Er 1.414 1.844 1.064
Mg 2.829 2.378 4.119
Er 4.243 1.844 -1.064
Cu 4.243 4.306 -2.486
Cu 4.243 2.828 1.633
Cu 1.414 4.306 2.486
Mg 2.829 4.756 0.000
Cu 1.414 0.000 3.266
Cu 1.414 2.828 -1.633
Cu 4.243 0.000 4.972
Er 4.243 5.291 3.055
Mg 0.000 2.378 4.119
```

- symmetry = P6_3/mcm (193)

***

Arrangement x

A plane-wave DFT calculation with PBE was carried out for Er3Mg2Cu3 after structural relaxation.

```
8
Lattice="3.351 0.000 0.000 0.000 4.971 0.000 -1.676 -2.486 10.031" Properties=species:S:1:pos:R:3 pbc="T T T"
Er 0.000 0.000 7.625
Mg 1.676 0.000 4.606
Cu 0.000 0.000 2.403
Er 1.676 2.486 2.406
Cu 1.676 2.486 7.628
Er 1.676 0.000 0.000
Mg 0.000 2.486 5.425
Cu 0.000 2.486 0.000
```

- symmetry = Immm (71)

***

Relative energies with respect to the most stable structure, expressed in kJ/mol of atoms: arrangement w 0.0; arrangement x 3.9.

***

Arrangement w

A plane-wave DFT calculation with PBE was carried out for ErMg3Cu after structural relaxation.

```
5
Lattice="4.880 0.000 0.000 0.000 4.880 0.000 0.000 0.000 4.880" Properties=species:S:1:pos:R:3 pbc="T T T"
Cu 0.000 0.000 0.000
Mg 2.440 0.000 0.000
Mg 0.000 2.440 0.000
Er 2.440 2.440 2.440
Mg 0.000 0.000 2.440
```

- symmetry = Pm-3m (221)

***

Arrangement x

A plane-wave DFT calculation with PBE was carried out for ErMg3Cu after structural relaxation.

```
10
Lattice="-2.784 -3.281 0.261 5.604 -4.754 0.011 -1.762 2.039 6.836" Properties=species:S:1:pos:R:3 pbc="T T T"
Mg -0.209 0.355 2.225
Mg 1.709 -1.414 0.448
Mg 4.051 -3.069 4.623
Er -0.993 -1.594 4.964
Cu 1.243 -3.502 4.827
Mg 2.133 -1.300 6.400
Cu -0.185 -2.494 2.283
Er 2.051 -4.401 2.145
Mg 1.921 -1.357 3.424
Mg -1.392 -1.641 0.131
```

- symmetry = Cmmm (65)

***

Relative energies with respect to the most stable structure, expressed in kJ/mol of atoms: arrangement w 18.8; arrangement x 0.0.

***

Arrangement w

A plane-wave DFT calculation with PBE was carried out for Er4MgCu after structural relaxation.

```
24
Lattice="8.343 0.000 4.817 2.781 7.866 4.817 0.000 0.000 9.634" Properties=species:S:1:pos:R:3 pbc="T T T"
Er 6.256 4.424 14.450
Er 9.386 4.424 12.643
Mg 1.893 1.339 3.279
Er 7.319 1.448 6.590
Er 4.453 3.149 7.712
Er 7.780 3.149 9.634
Er 4.453 3.149 11.555
Er 7.299 7.375 16.258
Er 9.386 4.424 16.258
Cu 3.187 4.772 9.634
Cu 6.749 4.772 11.690
Er 10.430 7.375 14.450
Mg 4.557 1.339 4.817
Er 3.805 6.418 6.590
Er 2.048 1.448 9.634
Er 7.319 1.448 12.677
Mg 1.893 1.339 6.355
Cu 6.749 4.772 7.577
Er 3.805 6.418 12.677
Er 7.299 7.375 12.643
Cu 5.562 1.414 9.634
Er 9.076 6.418 9.634
Mg 2.781 3.850 4.817
Er 5.562 6.286 9.634
```

- symmetry = F-43m (216)

***

Arrangement x

A plane-wave DFT calculation with PBE was carried out for Er4MgCu after structural relaxation.

```
6
Lattice="4.835 0.000 -0.002 0.000 4.836 -0.003 0.003 0.004 7.560" Properties=species:S:1:pos:R:3 pbc="T T T"
Er 0.009 2.407 5.394
Er 2.424 4.823 2.134
Er 2.426 4.825 5.392
Cu 0.007 4.827 3.762
Mg 2.426 2.409 7.545
Er 0.007 2.405 2.136
```

- symmetry = P4/mmm (123)

***

Relative energies with respect to the most stable structure, expressed in kJ/mol of atoms: arrangement w 0.0; arrangement x 31.8.

***

Arrangement w

A plane-wave DFT calculation with PBE was carried out for ErMgScCu after structural relaxation.

```
4
Lattice="3.363 0.000 0.000 0.000 3.363 0.000 0.000 0.000 7.806" Properties=species:S:1:pos:R:3 pbc="T T T"
Er 1.681 1.681 6.105
Cu 0.000 0.000 4.307
Sc 1.681 1.681 2.845
Mg 0.000 0.000 0.673
```

- symmetry = P4mm (99)

***

Arrangement x

A plane-wave DFT calculation with PBE was carried out for ErMgScCu after structural relaxation.

```
4
Lattice="-0.877 0.115 4.882 -1.018 -4.200 2.437 3.318 -1.900 3.162" Properties=species:S:1:pos:R:3 pbc="T T T"
Cu 0.356 -1.496 2.620
Sc 0.712 -2.993 5.241
Mg 1.068 -4.489 7.861
Er 0.000 0.000 0.000
```

- symmetry = F-43m (216)

***

Relative energies with respect to the most stable structure, expressed in kJ/mol of atoms: arrangement w 0.0; arrangement x 9.4.

***

Arrangement w

A plane-wave DFT calculation with PBE was carried out for TbErMgCu after structural relaxation.

```
4
Lattice="-4.012 0.513 3.125 -2.209 -4.141 2.025 0.505 -0.984 4.990" Properties=species:S:1:pos:R:3 pbc="T T T"
Mg -4.287 -3.459 7.605
Er -2.858 -2.306 5.070
Cu -1.429 -1.153 2.535
Tb 0.000 0.000 0.000
```

- symmetry = F-43m (216)

***

Arrangement x

A plane-wave DFT calculation with PBE was carried out for TbErMgCu after structural relaxation.

```
4
Lattice="3.473 0.000 0.000 0.000 3.473 0.000 0.000 0.000 8.012" Properties=species:S:1:pos:R:3 pbc="T T T"
Cu 1.737 1.737 4.922
Er 0.000 0.000 6.539
Tb 0.000 0.000 3.165
Mg 1.737 1.737 0.822
```

- symmetry = P4mm (99)

***

Relative energies with respect to the most stable structure, expressed in kJ/mol of atoms: arrangement w 8.1; arrangement x 0.0.